[1]
DFT (GGA-PBE) results for crystalline K3Li2F7 at its relaxed geometry.

Cell and atoms, written as POSCAR:
```
K3Li2F7
1.0
-2.007 2.007 10.782
2.007 -2.007 10.782
2.007 2.007 -10.782
K Li F
3 2 7
direct
0.000 0.000 0.000 K
0.182 0.182 0.000 K
0.818 0.818 0.000 K
0.405 0.405 0.000 Li
0.595 0.595 0.000 Li
0.094 0.594 0.500 F
0.307 0.307 0.000 F
0.406 0.906 0.500 F
0.500 0.500 0.000 F
0.594 0.094 0.500 F
0.693 0.693 0.000 F
0.906 0.406 0.500 F
```

Summary:
offset from the most stable computed form = 0.0111 eV per atom
E = -4.025 eV/atom
space-group type = No. 139
E_form (uncorrected) = -2.340 eV/atom

---

[2]
DFT (GGA-PBE) results for crystalline KLiF2 at its relaxed geometry.

Cell and atoms, written as POSCAR:
```
KLiF2
1.0
2.938 0.000 0.000
0.000 2.938 0.000
0.000 0.000 6.004
K Li F
1 1 2
direct
0.000 0.000 0.000 K
0.000 0.000 0.500 Li
0.500 0.500 0.282 F
0.500 0.500 0.718 F
```

Summary:
E = -4.188 eV/atom
space-group type = No. 123
E_form (uncorrected) = -2.499 eV/atom

---

[3]
DFT (GGA-PBE) results for crystalline KLi3F at its relaxed geometry.

Cell and atoms, written as POSCAR:
```
KLi3F
1.0
4.897 0.000 0.000
0.000 4.897 0.000
0.000 0.000 4.897
K Li F
1 3 1
direct
0.000 0.000 0.000 K
0.000 0.500 0.500 Li
0.500 0.000 0.500 Li
0.500 0.500 0.000 Li
0.500 0.500 0.500 F
```

Summary:
offset from the most stable computed form = 0.0000 eV per atom
E = -2.449 eV/atom
space-group type = No. 221
E_form (uncorrected) = -0.707 eV/atom

---

[4]
DFT (GGA-PBE) results for crystalline KLi3F at its relaxed geometry.

Cell and atoms, written as POSCAR:
```
KLi3F
1.0
6.079 0.000 0.000
0.000 6.079 0.000
0.000 0.000 6.079
K Li F
1 3 1
direct
0.000 0.000 0.000 K
0.000 0.000 0.500 Li
0.000 0.500 0.000 Li
0.500 0.000 0.000 Li
0.500 0.500 0.500 F
```

Summary:
offset from the most stable computed form = 1.0049 eV per atom
E = -1.444 eV/atom
space-group type = No. 221
E_form (uncorrected) = 0.298 eV/atom